5
Lattice="-2.7110 2.7110 4.8228 2.7110 -2.7110 4.8228 2.7110 2.7110 -4.8228" Properties=species:S:1:pos:R:3 comment="Bi2SCl2, optimized geometry, DFT GGA-PBE" sg=I4/mmm crystal_system=tetragonal relative_energy_ev_per_atom=0.5820 raw_formation_energy_ev_per_atom=0.174 dos_at_fermi_per_ev_fu=4.0 density_g_cm3=6.101 total_magnetization_mub_per_fu=0.00 e_tot_ev_per_fu=-14.71 pbc="T T T"
Bi 2.7110 0.0000 2.4114
Bi 0.0000 2.7110 2.4114
S 0.0000 0.0000 0.0000
Cl 0.0000 0.0000 3.3348
Cl 0.0000 0.0000 6.3108